Entry from Alexandria via LeMat-Bulk: crystalline TbPr2Zn at its relaxed geometry (PBE).

SG = R3m (160)
crystal system = trigonal
energy relative to the elements = 88 meV/atom
VASP energy = -0.2776 Ry/atom

Unit cell a=5.4866 b=5.4866 c=5.4816 alpha=59.97 beta=59.97 gamma=60.00
Element x y z (fractional)
Tb: 0.5003 0.5003 0.4992
Zn: 0.7497 0.7497 0.7508
Pr: 0.2503 0.2503 0.2492
Pr: 0.9997 0.9997 0.0008